Record 1
## TaAlPt2 (GGA-PBE)

Data for TaAlPt2 after structural relaxation.

Cell lengths 8.942, 2.853, 5.115 Å; angles 90.00, 100.11, 90.00 degrees
Positions (direct):
Ta1 0.000 0.000 0.000
Ta2 0.500 0.500 0.000
Al1 0.000 0.500 0.500
Al2 0.500 0.000 0.500
Pt1 0.242 0.000 0.747
Pt2 0.258 0.500 0.253
Pt3 0.742 0.500 0.747
Pt4 0.758 0.000 0.253

Output
ΔE_f = -2.23 eV/f.u.
Space-group type = C2/m (12)
DOS(E_F) = 2.65 states/eV/f.u.
Crystal system = monoclinic
Magnetic moment = 0.000 μB per cell

=====

Record 2
## PmTiZn2 (GGA-PBE)

Data for PmTiZn2 after structural relaxation.

Cell lengths 3.359, 3.359, 6.954 Å; angles 90.00, 90.00, 90.00 degrees
Positions (direct):
Pm1 0.000 0.000 0.000
Ti1 0.000 0.000 0.500
Zn1 0.500 0.500 0.301
Zn2 0.500 0.500 0.699

Output
ΔE_f = -0.72 eV/f.u.
Space-group type = P4/mmm (123)
DOS(E_F) = 3.91 states/eV/f.u.
Crystal system = tetragonal
Magnetic moment = 0.001 μB per cell
E above lowest polymorph = 0 meV/atom